Record 1
A relaxed LiGa2Cu4 crystal, computed with PBE-GGA.

a b c (Å): 4.097 4.097 6.904
angles (deg): 72.74 72.74 90.00
Element x y z (fractional)
Cu 0.182 0.182 0.636
Cu 0.818 0.818 0.364
Cu 0.000 0.500 0.000
Cu 0.500 0.000 0.000
Ga 0.373 0.373 0.255
Ga 0.627 0.627 0.745
Li 0.000 0.000 0.000

Calculated values
For the energy, the calculation gives -21.7 eV per cell. The value obtained for the calculated density is 6.3 Mg/m³. The value obtained for the total magnetization is 0.00 Bohr magnetons per cell. The value obtained for the formation energy from the elements is 0.376 eV/atom. The calculation puts the energy above the most stable polymorph in this dataset at 529 meV/atom. As for the symmetry: I4/mmm (139).

---

Record 2
A relaxed Ho6NiRh5 crystal, computed with PBE-GGA.

a b c (Å): 4.797 6.872 7.592
angles (deg): 90.00 71.58 90.00
Element x y z (fractional)
Ni 0.000 0.000 0.000
Rh 0.667 0.500 0.666
Rh 0.334 0.000 0.333
Rh 0.000 0.500 0.000
Rh 0.666 0.000 0.667
Rh 0.333 0.500 0.334
Ho 0.834 0.751 0.332
Ho 0.834 0.249 0.332
Ho 0.500 0.249 0.000
Ho 0.500 0.751 0.000
Ho 0.166 0.751 0.668
Ho 0.166 0.249 0.668

Calculated values
For the energy, the calculation gives -79.9 eV per cell. The value obtained for the calculated density is 10.9 Mg/m³. The value obtained for the total magnetization is 0.00 Bohr magnetons per cell. The value obtained for the formation energy from the elements is -0.823 eV/atom. As for the symmetry: Cmmm (65).

---

Record 3
A relaxed Cs2K4AlSn2 crystal, computed with PBE-GGA.

a b c (Å): 6.345 9.007 9.007
angles (deg): 58.63 74.82 74.82
Element x y z (fractional)
Cs 0.314 0.640 0.640
Cs 0.686 0.360 0.360
K 0.176 0.650 0.089
K 0.824 0.911 0.350
K 0.824 0.350 0.911
K 0.176 0.089 0.650
Al 0.500 0.000 0.000
Sn 0.293 0.172 0.172
Sn 0.707 0.828 0.828

Calculated values
For the energy, the calculation gives -18.5 eV per cell. The value obtained for the calculated density is 2.7 Mg/m³. The value obtained for the total magnetization is 0.95 Bohr magnetons per cell. The value obtained for the formation energy from the elements is -0.068 eV/atom. As for the symmetry: C2/m (12).

---

Record 4
A relaxed Cs2BiH crystal, computed with PBE-GGA.

a b c (Å): 3.735 3.735 9.998
angles (deg): 90.00 90.00 90.00
Element x y z (fractional)
Cs 0.000 0.000 0.810
Cs 0.000 0.000 0.190
H 0.500 0.500 0.000
Bi 0.500 0.500 0.500

Calculated values
For the energy, the calculation gives -9.6 eV per cell. The value obtained for the calculated density is 5.7 Mg/m³. The value obtained for the total magnetization is 0.00 Bohr magnetons per cell. The calculation puts the energy above the most stable polymorph in this dataset at 0 meV/atom. As for the symmetry: P4/mmm (123).

---

Record 5
A relaxed ThMnTe2 crystal, computed with PBE-GGA.

a b c (Å): 3.709 3.709 9.909
angles (deg): 79.21 79.21 60.00
Site moments in Bohr magnetons follow the coordinates.
Element x y z (fractional)
Mn 0.500 0.500 0.500  3.32
Te 0.110 0.110 0.670  -0.08
Te 0.890 0.890 0.330  -0.08
Th 0.000 0.000 0.000  -0.31

Calculated values
For the energy, the calculation gives -23.2 eV per cell. The value obtained for the calculated density is 7.8 Mg/m³. The value obtained for the total magnetization is 2.71 Bohr magnetons per cell. For the uncorrected formation energy, the calculation gives -0.09 eV per atom. As for the symmetry: R-3m (166).

---

Record 6
A relaxed AcSiAg crystal, computed with PBE-GGA.

a b c (Å): 4.946 4.946 4.946
angles (deg): 60.00 60.00 60.00
Element x y z (fractional)
Ac 0.500 0.500 0.500
Si 0.250 0.250 0.250
Ag 0.000 0.000 0.000

Calculated values
For the energy, the calculation gives -13.2 eV per cell. The value obtained for the calculated density is 7.0 Mg/m³. The value obtained for the total magnetization is 0.00 Bohr magnetons per cell. For the uncorrected formation energy, the calculation gives -0.28 eV per atom. The calculation puts the energy above the most stable polymorph in this dataset at 232 meV/atom. As for the symmetry: F-43m (216).

---

Record 7
A relaxed MgMoH crystal, computed with PBE-GGA.

a b c (Å): 5.045 3.316 10.132
angles (deg): 90.00 111.25 90.00
Element x y z (fractional)
Mg 0.583 0.000 0.884
Mg 0.583 0.500 0.384
Mg 0.869 0.000 0.659
Mg 0.869 0.500 0.159
Mo 0.334 0.000 0.115
Mo 0.334 0.500 0.615
Mo 0.114 0.000 0.429
Mo 0.114 0.500 0.929
H 0.141 0.000 0.245
H 0.141 0.500 0.745
H 0.657 0.000 0.090
H 0.657 0.500 0.590

Calculated values
For the energy, the calculation gives -61.8 eV per cell. The value obtained for the calculated density is 5.1 Mg/m³. The value obtained for the total magnetization is 0.00 Bohr magnetons per cell. The calculation puts the energy above the most stable polymorph in this dataset at 41 meV/atom. As for the symmetry: Cm (8).

---

Record 8
A relaxed Ca3MnTl crystal, computed with PBE-GGA.

a b c (Å): 5.520 5.520 5.520
angles (deg): 90.00 90.00 90.00
Site moments in Bohr magnetons follow the coordinates.
Element x y z (fractional)
Tl 0.500 0.500 0.500  0.00
Mn 0.000 0.000 0.000  2.97
Ca 0.000 0.500 0.000  -0.05
Ca 0.000 0.000 0.500  -0.08
Ca 0.500 0.000 0.000  -0.02

Calculated values
For the energy, the calculation gives -15.8 eV per cell. The value obtained for the calculated density is 3.7 Mg/m³. The value obtained for the total magnetization is 2.56 Bohr magnetons per cell. The value obtained for the formation energy from the elements is 0.350 eV/atom. The calculation puts the energy above the most stable polymorph in this dataset at 0 meV/atom. As for the symmetry: Pm-3m (221).

---

Record 9
A relaxed ScCu2Pb crystal, computed with PBE-GGA.

a b c (Å): 3.455 3.537 7.113
angles (deg): 60.29 90.00 90.00
Element x y z (fractional)
Cu 0.000 0.041 0.961
Cu 0.000 0.459 0.539
Pb 0.500 0.250 0.250
Sc 0.500 0.750 0.750

Calculated values
For the energy, the calculation gives -18.6 eV per cell. The value obtained for the calculated density is 8.3 Mg/m³. The value obtained for the total magnetization is 0.00 Bohr magnetons per cell. The value obtained for the formation energy from the elements is -0.101 eV/atom. As for the symmetry: P2/m (10).

---

Record 10
A relaxed FeReRh4 crystal, computed with PBE-GGA.

a b c (Å): 4.141 4.140 7.016
angles (deg): 72.81 72.83 59.99
Site moments in Bohr magnetons follow the coordinates.
Element x y z (fractional)
Fe 0.000 0.000 0.000  2.95
Re 0.500 0.500 0.500  -0.22
Rh 0.626 0.626 0.122  0.30
Rh 0.374 0.374 0.878  0.30
Rh 0.125 0.125 0.626  0.12
Rh 0.875 0.875 0.374  0.12

Calculated values
For the energy, the calculation gives -48.5 eV per cell. The value obtained for the calculated density is 11.1 Mg/m³. The value obtained for the total magnetization is 3.54 Bohr magnetons per cell. The value obtained for the formation energy from the elements is 0.297 eV/atom. The calculation puts the energy above the most stable polymorph in this dataset at 359 meV/atom. As for the symmetry: R-3m (166).

---

Record 11
A relaxed SrCa2Be crystal, computed with PBE-GGA.

a b c (Å): 6.420 6.420 6.420
angles (deg): 133.86 133.86 67.31
Element x y z (fractional)
Sr 0.250 0.750 0.500
Ca 0.000 0.000 0.000
Ca 0.500 0.500 0.000
Be 0.750 0.250 0.500

Calculated values
For the energy, the calculation gives -7.5 eV per cell. The value obtained for the calculated density is 2.2 Mg/m³. The value obtained for the total magnetization is 0.00 Bohr magnetons per cell. The value obtained for the formation energy from the elements is 0.475 eV/atom. As for the symmetry: I4/mmm (139).

---

Record 12
A relaxed LiCaTmOs crystal, computed with PBE-GGA.

a b c (Å): 4.900 4.900 4.900
angles (deg): 60.00 60.00 60.00
Element x y z (fractional)
Ca 0.250 0.250 0.250
Tm 0.750 0.750 0.750
Os 0.500 0.500 0.500
Li 0.000 0.000 0.000

Calculated values
For the energy, the calculation gives -19.5 eV per cell. The value obtained for the calculated density is 8.1 Mg/m³. The value obtained for the total magnetization is 0.00 Bohr magnetons per cell. The value obtained for the formation energy from the elements is 0.019 eV/atom. As for the symmetry: F-43m (216).

---

Record 13
A relaxed Li3La3Mg8 crystal, computed with PBE-GGA.

a b c (Å): 5.251 9.073 9.073
angles (deg): 64.33 73.18 73.18
Element x y z (fractional)
Li 0.500 0.000 0.000
Li 0.000 0.858 0.142
Li 0.000 0.142 0.858
La 0.500 0.500 0.500
La 0.764 0.236 0.236
La 0.236 0.764 0.764
Mg 0.642 0.045 0.671
Mg 0.358 0.955 0.329
Mg 0.642 0.671 0.045
Mg 0.358 0.329 0.955
Mg 0.858 0.795 0.488
Mg 0.142 0.205 0.512
Mg 0.858 0.488 0.795
Mg 0.142 0.512 0.205

Calculated values
For the energy, the calculation gives -33.9 eV per cell. The value obtained for the calculated density is 2.9 Mg/m³. The value obtained for the total magnetization is 0.00 Bohr magnetons per cell. The value obtained for the formation energy from the elements is -0.043 eV/atom. As for the symmetry: Immm (71).